(1)
Entry from the Alexandria database: a relaxed TaIr2Br crystal (PBE-GGA).

Total magnetic moment   0.0 μB per cell
Total DFT energy (no corrections)   -28.5 eV/f.u.
DOS at the Fermi energy   0.37 states/eV per atom
Crystal system   cubic
Distance to the lowest polymorph of the same formula   2.90 eV/f.u.
Uncorrected formation energy   0.675 eV/atom

abc: 6.500 6.500 6.500
angles: 90.00 90.00 90.00
Positions (direct):
Ta: 0.000 0.000 0.000
Ta: 0.000 0.500 0.500
Ta: 0.500 0.000 0.500
Ta: 0.500 0.500 0.000
Ir: 0.250 0.250 0.250
Ir: 0.250 0.250 0.750
Ir: 0.250 0.750 0.250
Ir: 0.250 0.750 0.750
Ir: 0.750 0.250 0.250
Ir: 0.750 0.250 0.750
Ir: 0.750 0.750 0.250
Ir: 0.750 0.750 0.750
Br: 0.000 0.000 0.500
Br: 0.000 0.500 0.000
Br: 0.500 0.000 0.000
Br: 0.500 0.500 0.500

(2)
Entry from the Alexandria database: a relaxed Pb2Se2BrO6 crystal (PBE-GGA).

Total magnetic moment   1.0 μB per cell
Total DFT energy (no corrections)   -55.1 eV/f.u.
DOS at the Fermi energy   0.19 states/eV per atom
Crystal system   triclinic
Uncorrected formation energy   -0.843 eV/atom

abc: 5.966 6.087 7.090
angles: 109.80 96.55 101.79
Positions (direct):
Pb: 0.212 0.395 0.266
Pb: 0.788 0.605 0.734
Se: 0.197 0.266 0.729
Se: 0.803 0.734 0.271
Br: 0.500 0.000 0.000
O: 0.046 0.720 0.421
O: 0.242 0.514 0.952
O: 0.408 0.354 0.598
O: 0.592 0.646 0.402
O: 0.758 0.486 0.048
O: 0.954 0.280 0.579

(3)
Entry from the Alexandria database: a relaxed Y2W crystal (PBE-GGA).

Total magnetic moment   0.0 μB per cell
Total DFT energy (no corrections)   -24.0 eV/f.u.
DOS at the Fermi energy   1.46 states/eV per atom
Crystal system   hexagonal
Distance to the lowest polymorph of the same formula   1.18 eV/f.u.

abc: 5.169 5.169 3.005
angles: 90.00 90.00 120.00
Positions (direct):
Y: 0.333 0.667 0.000
Y: 0.667 0.333 0.000
W: 0.000 0.000 0.500

(4)
Entry from the Alexandria database: a relaxed AgHgPbCl6 crystal (PBE-GGA).

Total magnetic moment   0.0 μB per cell
Total DFT energy (no corrections)   -23.6 eV/f.u.
DOS at the Fermi energy   0.51 states/eV per atom
Crystal system   trigonal
Uncorrected formation energy   -0.630 eV/atom

abc: 6.836 6.836 12.180
angles: 90.00 90.00 120.00
Positions (direct):
Ag: 0.000 0.000 0.000
Ag: 0.000 0.000 0.500
Hg: 0.333 0.667 0.250
Hg: 0.667 0.333 0.750
Pb: 0.333 0.667 0.750
Pb: 0.667 0.333 0.250
Cl: 0.010 0.333 0.123
Cl: 0.010 0.676 0.377
Cl: 0.324 0.333 0.377
Cl: 0.324 0.990 0.123
Cl: 0.333 0.010 0.623
Cl: 0.333 0.324 0.877
Cl: 0.667 0.676 0.123
Cl: 0.667 0.990 0.377
Cl: 0.676 0.010 0.877
Cl: 0.676 0.667 0.623
Cl: 0.990 0.324 0.623
Cl: 0.990 0.667 0.877